# Sr2CaIn2, optimized geometry, DFT PBE
# V (Å³ per cell): 748.29
# Energy of formation (kcal/mol of atoms): -7.81
# M_tot (Bohr magnetons per cell): 0.00
# D(E_F) (states/eV per cell): 17.89
# Energy relative to the lowest polymorph listed for this composition (eV per atom): 0.020
data_Sr2CaIn2
_cell_length_a 13.725
_cell_length_b 5.052
_cell_length_c 12.514
_cell_angle_alpha 90.00
_cell_angle_beta 120.42
_cell_angle_gamma 90.00
_space_group_name_H-M_alt 'C 1 2/m 1'
_space_group_IT_number 12
_space_group_name_Hall '-C 2y'
loop_
_atom_site_label
_atom_site_fract_x
_atom_site_fract_y
_atom_site_fract_z
Sr1 0.026 0.000 0.190
Sr2 0.185 0.000 0.601
Ca1 0.211 0.500 0.867
In1 0.027 0.500 0.398
In2 0.122 0.500 0.070

***

# SrCa4In4, optimized geometry, DFT PBE
# V (Å³ per cell): 688.19
# Energy of formation (kcal/mol of atoms): -5.27
# M_tot (Bohr magnetons per cell): 0.00
# D(E_F) (states/eV per cell): 18.81
data_SrCa4In4
_cell_length_a 10.377
_cell_length_b 10.377
_cell_length_c 6.391
_cell_angle_alpha 90.00
_cell_angle_beta 90.00
_cell_angle_gamma 90.00
_space_group_name_H-M_alt 'P 42/n'
_space_group_IT_number 86
loop_
_space_group_symop_operation_xyz
'x,y,z'
'-x,-y,-z'
'-y,x+1/2,z+1/2'
'y,-x+1/2,-z+1/2'
'-x+1/2,-y+1/2,z'
'x+1/2,y+1/2,-z'
'y+1/2,-x,z+1/2'
'-y+1/2,x,-z+1/2'
loop_
_atom_site_label
_atom_site_fract_x
_atom_site_fract_y
_atom_site_fract_z
Sr1 0.250 0.250 0.250
Ca1 0.098 0.647 0.131
In1 0.038 0.602 0.635

***

# Sr12Ca3In, optimized geometry, DFT PBE
# V (Å³ per cell): 779.24
# Energy of formation (kcal/mol of atoms): -0.61
# M_tot (Bohr magnetons per cell): 0.00
# D(E_F) (states/eV per cell): 19.95
data_Sr12Ca3In
_cell_length_a 5.871
_cell_length_b 5.871
_cell_length_c 22.609
_cell_angle_alpha 90.00
_cell_angle_beta 90.00
_cell_angle_gamma 90.00
_space_group_name_H-M_alt 'P 4/m m m'
_space_group_IT_number 123
_space_group_name_Hall '-P 4 2'
loop_
_atom_site_label
_atom_site_fract_x
_atom_site_fract_y
_atom_site_fract_z
Sr1 0.000 0.000 0.000
Sr2 0.000 0.000 0.237
Sr3 0.000 0.000 0.500
Sr4 0.000 0.500 0.107
Sr5 0.000 0.500 0.370
Ca1 0.500 0.500 0.240
Ca2 0.500 0.500 0.500
In1 0.500 0.500 0.000

***

# Sr2Ca3In4, optimized geometry, DFT PBE
# V (Å³ per cell): 586.51
# Energy of formation (kcal/mol of atoms): -8.80
# M_tot (Bohr magnetons per cell): 0.00
# D(E_F) (states/eV per cell): 11.39
data_Sr2Ca3In4
_cell_length_a 9.690
_cell_length_b 5.590
_cell_length_c 10.827
_cell_angle_alpha 90.00
_cell_angle_beta 90.06
_cell_angle_gamma 90.00
_space_group_name_H-M_alt 'C 1 2/m 1'
_space_group_IT_number 12
_space_group_name_Hall '-C 2y'
loop_
_atom_site_label
_atom_site_fract_x
_atom_site_fract_y
_atom_site_fract_z
Sr1 0.167 0.000 0.214
Ca1 0.000 0.500 0.000
Ca2 0.166 0.000 0.587
In1 0.000 0.500 0.358
In2 0.167 0.000 0.903